{
  "formula": "ScVTc2",
  "functional": "PBE",
  "state": "optimized geometry",
  "energy_ev_per_fu": -36.8,
  "e_form_kj_per_mol_atoms": -15.7,
  "lattice_angstrom": [[4.427, 0.000, 0.000], [0.000, 4.427, 0.000], [0.000, 0.000, 3.113]],
  "species": ["Sc", "V", "Tc", "Tc"],
  "fractional_positions": [[0.000, 0.000, 0.000], [0.500, 0.500, 0.000], [0.000, 0.500, 0.500], [0.500, 0.000, 0.500]]
}